Entry 1:
A plane-wave DFT calculation with GGA-PBEsol was carried out for Be2AgHg after structural relaxation. Values from VASP.

Structure (Quantum ESPRESSO input):
```
&SYSTEM
  ibrav = 0, nat = 4, ntyp = 3
/
ATOMIC_SPECIES
Be 9.01 Be.upf
Ag 107.87 Ag.upf
Hg 200.59 Hg.upf
CELL_PARAMETERS angstrom
-1.841 1.841 4.021
1.841 -1.841 4.021
1.841 1.841 -4.021
ATOMIC_POSITIONS crystal
Be 0.000 0.000 0.000
Be 0.750 0.250 0.500
Ag 0.250 0.750 0.500
Hg 0.500 0.500 0.000
```

Properties
**Formation energy**: 0.31 eV/atom
**Total DFT energy (no corrections)**: -2.66 eV/atom
**SG**: I-4m2, No. 119
**Calculated volume**: 55 Å³/cell

Entry 2:
A plane-wave DFT calculation with GGA-PBEsol was carried out for ScTa2Te after structural relaxation. Values from VASP.

Structure (Quantum ESPRESSO input):
```
&SYSTEM
  ibrav = 0, nat = 4, ntyp = 3
/
ATOMIC_SPECIES
Sc 44.96 Sc.upf
Ta 180.95 Ta.upf
Te 127.60 Te.upf
CELL_PARAMETERS angstrom
1.800 -2.479 0.000
1.800 2.479 0.000
0.000 0.000 8.944
ATOMIC_POSITIONS crystal
Sc 0.000 0.000 0.000
Ta 0.500 0.500 0.261
Ta 0.500 0.500 0.739
Te 0.000 0.000 0.500
```

Properties
**Formation energy without anion corrections**: 0.31 eV/atom
**Total DFT energy (no corrections)**: -8.50 eV/atom
**Offset from the most stable computed form**: 5.5 kJ per mole of atoms
**SG**: Cmmm, No. 65
**Calculated volume**: 80 Å³/cell

Entry 3:
A plane-wave DFT calculation with GGA-PBEsol was carried out for MgSbCl2 after structural relaxation. Values from VASP.

Structure (Quantum ESPRESSO input):
```
&SYSTEM
  ibrav = 0, nat = 4, ntyp = 3
/
ATOMIC_SPECIES
Mg 24.30 Mg.upf
Sb 121.76 Sb.upf
Cl 35.45 Cl.upf
CELL_PARAMETERS angstrom
3.107 -4.348 0.000
3.107 4.348 0.000
0.000 0.000 3.274
ATOMIC_POSITIONS crystal
Mg 0.000 0.000 0.000
Sb 0.500 0.500 0.000
Cl 0.000 0.500 0.500
Cl 0.500 0.000 0.500
```

Properties
**Formation energy without anion corrections**: -0.36 eV/atom
**Total DFT energy (no corrections)**: -2.94 eV/atom
**Offset from the most stable computed form**: 49.5 kJ per mole of atoms
**SG**: Cmmm, No. 65
**Calculated volume**: 88 Å³/cell

Entry 4:
A plane-wave DFT calculation with GGA-PBEsol was carried out for Be2InHg after structural relaxation. Values from VASP.

Structure (Quantum ESPRESSO input):
```
&SYSTEM
  ibrav = 0, nat = 4, ntyp = 3
/
ATOMIC_SPECIES
Be 9.01 Be.upf
In 114.82 In.upf
Hg 200.59 Hg.upf
CELL_PARAMETERS angstrom
3.853 0.000 0.000
0.000 1.847 4.427
0.000 -1.847 4.427
ATOMIC_POSITIONS crystal
Be 0.000 0.000 0.000
Be 0.500 0.137 0.137
In 0.000 0.715 0.715
Hg 0.500 0.424 0.424
```

Properties
**Formation energy**: 0.35 eV/atom
**Total DFT energy (no corrections)**: -2.54 eV/atom
**Offset from the most stable computed form**: 0.5 kJ per mole of atoms
**SG**: Amm2, No. 38
**Calculated volume**: 63 Å³/cell

Entry 5:
A plane-wave DFT calculation with GGA-PBEsol was carried out for Sc8Ta after structural relaxation. Values from VASP.

Structure (Quantum ESPRESSO input):
```
&SYSTEM
  ibrav = 0, nat = 9, ntyp = 2
/
ATOMIC_SPECIES
Sc 44.96 Sc.upf
Ta 180.95 Ta.upf
CELL_PARAMETERS angstrom
-4.747 4.747 2.234
4.747 -4.747 2.234
4.747 4.747 -2.234
ATOMIC_POSITIONS crystal
Sc 0.000 0.324 0.324
Sc 0.000 0.676 0.676
Sc 0.324 0.000 0.324
Sc 0.342 0.342 0.684
Sc 0.342 0.658 0.000
Sc 0.658 0.342 0.000
Sc 0.658 0.658 0.316
Sc 0.676 0.000 0.676
Ta 0.000 0.000 0.000
```

Properties
**Formation energy**: 0.08 eV/atom
**Total DFT energy (no corrections)**: -7.18 eV/atom
**SG**: I4/mmm, No. 139
**Calculated volume**: 201 Å³/cell

Entry 6:
A plane-wave DFT calculation with GGA-PBEsol was carried out for TcNi2Os after structural relaxation. Values from VASP.

Structure (Quantum ESPRESSO input):
```
&SYSTEM
  ibrav = 0, nat = 4, ntyp = 3
/
ATOMIC_SPECIES
Tc 98.00 Tc.upf
Ni 58.69 Ni.upf
Os 190.23 Os.upf
CELL_PARAMETERS angstrom
2.640 0.000 0.000
0.000 3.647 0.000
0.000 0.000 5.105
ATOMIC_POSITIONS crystal
Tc 0.000 0.000 0.000
Ni 0.000 0.000 0.485
Ni 0.500 0.500 0.259
Os 0.500 0.500 0.745
```

Properties
**Formation energy**: 0.05 eV/atom
**Total DFT energy (no corrections)**: -8.90 eV/atom
**Offset from the most stable computed form**: 3.5 kJ per mole of atoms
**SG**: Pmm2, No. 25
**Calculated volume**: 49 Å³/cell